# 1
Entry from the Open Quantum Materials Database: an optimized crystal structure of ErTmNi2Pb (PBE).

Results
For the final energy, the calculation gives -5.3063 eV per atom.

Cell: 3.6314 7.3431 7.3431 Å, 31.40 90.00 90.00°
Last column: nearest neighbours and their distance in Å.
Atoms (fractional coordinates):
Er1 0.0000 0.0000 0.0000  6 Ni 2.82-2.88
Tm1 0.0000 0.2821 0.2821  6 Ni 2.82-2.88
Ni1 0.5000 0.4405 0.4405  2 Ni 2.43
Ni2 0.5000 0.8415 0.8415  2 Ni 2.43
Pb1 0.5000 0.6410 0.6410  2 Ni 2.83-2.84


# 2
Entry from the Open Quantum Materials Database: an optimized crystal structure of YErNi2Pb (PBE).

Results
For the final energy, the calculation gives -5.6953 eV per atom.

Cell: 3.6744 7.3709 7.3709 Å, 31.24 90.00 90.00°
Last column: nearest neighbours and their distance in Å.
Atoms (fractional coordinates):
Y1 0.0000 0.0000 0.0000  6 Ni 2.85-2.94
Er1 0.0000 0.2799 0.2799  6 Ni 2.83-2.89
Ni1 0.5000 0.4366 0.4366  2 Ni 2.43
Ni2 0.5000 0.8382 0.8382  2 Ni 2.43
Pb1 0.5000 0.6397 0.6397  2 Ni 2.82-2.88


# 3
Entry from the Open Quantum Materials Database: an optimized crystal structure of Er2NiPd (PBE).

Results
For the final energy, the calculation gives -5.6766 eV per atom. As for the relative energy among the computed polymorphs: 0.015 eV/f.u. The calculation puts the calculated formation energy at -0.7092 eV/atom.

Cell: 4.4097 5.4200 6.9320 Å, 90.00 90.00 90.00°
Last column: nearest neighbours and their distance in Å.
Atoms (fractional coordinates):
Er1 0.0000 0.1076 0.0000  3 Pd 2.89-2.91, 4 Ni 2.92-2.93
Er2 0.0000 0.8924 0.5000  3 Pd 2.89-2.91, 4 Ni 2.92-2.93
Er3 0.5000 0.3811 0.6375  3 Ni 2.82-2.94, 4 Pd 2.94-2.95
Er4 0.5000 0.6189 0.1375  3 Ni 2.82-2.94, 4 Pd 2.94-2.95
Ni1 0.5000 0.1069 0.2767  2 Pd 2.75, 7 Er 2.82-2.94
Ni2 0.5000 0.8931 0.7767  2 Pd 2.75, 7 Er 2.82-2.94
Pd1 0.0000 0.3921 0.3552  2 Ni 2.75, 7 Er 2.89-2.95
Pd2 0.0000 0.6079 0.8552  2 Ni 2.75, 7 Er 2.89-2.95


# 4
Entry from the Open Quantum Materials Database: an optimized crystal structure of Er2NiPd (PBE).

Results
For the final energy, the calculation gives -5.6748 eV per atom. As for the relative energy among the computed polymorphs: 0.022 eV/f.u. The calculation puts the calculated formation energy at -0.7073 eV/atom.

Cell: 4.3948 6.9359 5.4300 Å, 90.00 90.00 90.00°
Last column: nearest neighbours and their distance in Å.
Atoms (fractional coordinates):
Er1 0.0000 0.0660 0.0000  4 Ni 2.85-2.93, 3 Pd 2.90-2.95
Er2 0.0000 0.5718 0.2239  4 Pd 2.87-2.94, 3 Ni 2.91-2.94
Er3 0.5000 0.4282 0.7239  4 Pd 2.87-2.94, 3 Ni 2.91-2.94
Er4 0.5000 0.9340 0.5000  4 Ni 2.85-2.93, 3 Pd 2.90-2.95
Ni1 0.0000 0.2104 0.5077  2 Pd 2.75, 7 Er 2.85-2.94
Ni2 0.5000 0.7896 0.0077  2 Pd 2.75, 7 Er 2.85-2.94
Pd1 0.0000 0.7095 0.7219  2 Ni 2.75, 7 Er 2.87-2.95
Pd2 0.5000 0.2905 0.2219  2 Ni 2.75, 7 Er 2.87-2.95


# 5
Entry from the Open Quantum Materials Database: an optimized crystal structure of ErNi4Pd (PBE).

Results
For the final energy, the calculation gives -5.7231 eV per atom. The calculation puts the calculated formation energy at -0.3881 eV/atom.

Cell: 4.8739 4.8739 4.8739 Å, 60.00 60.00 60.00°
Last column: nearest neighbours and their distance in Å.
Atoms (fractional coordinates):
Er1 0.0000 0.0000 0.0000  12 Ni 2.86, 4 Pd 2.98
Ni1 0.1269 0.6244 0.6244  6 Ni 2.42-2.45
Ni2 0.6244 0.1269 0.6244  6 Ni 2.42-2.45
Ni3 0.6244 0.6244 0.1269  6 Ni 2.42-2.45
Ni4 0.6244 0.6244 0.6244  6 Ni 2.42-2.45
Pd1 0.2500 0.2500 0.2500  12 Ni 2.86, 4 Er 2.98


# 6
Entry from the Open Quantum Materials Database: an optimized crystal structure of Er2NiPd (PBE).

Results
For the final energy, the calculation gives -5.6803 eV per atom. As for the relative energy among the computed polymorphs: 0.000 eV/f.u. The calculation puts the calculated formation energy at -0.7129 eV/atom.

Cell: 5.4147 4.4048 6.8974 Å, 90.00 90.87 90.00°
Last column: nearest neighbours and their distance in Å.
Atoms (fractional coordinates):
Er1 0.1390 0.2500 0.1728  4 Ni 2.85-2.92, 3 Pd 2.95-3.03
Er2 0.3611 0.2500 0.6918  3 Ni 2.77-2.89, 4 Pd 2.83-2.96
Er3 0.6389 0.7500 0.3082  3 Ni 2.77-2.89, 4 Pd 2.83-2.96
Er4 0.8610 0.7500 0.8272  4 Ni 2.85-2.92, 3 Pd 2.95-3.03
Ni1 0.3678 0.7500 0.9637  2 Ni 2.67, 7 Er 2.77-2.92
Ni2 0.6322 0.2500 0.0363  2 Ni 2.67, 7 Er 2.77-2.92
Pd1 0.1542 0.7500 0.4572  2 Pd 2.83, 7 Er 2.83-3.03
Pd2 0.8458 0.2500 0.5428  2 Pd 2.83, 7 Er 2.83-3.03


# 7
Entry from the Open Quantum Materials Database: an optimized crystal structure of Er3Ni2Sn3Pd (PBE).

Results
For the final energy, the calculation gives -5.4093 eV per atom.

Cell: 7.2964 7.2964 3.9996 Å, 90.00 90.00 120.00°
Last column: nearest neighbours and their distance in Å.
Atoms (fractional coordinates):
Er1 0.0000 0.4110 0.0000  4 Ni 2.98, 1 Pd 3.00, 6 Sn 3.09-3.31
Er2 0.4110 0.0000 0.0000  4 Ni 2.98, 1 Pd 3.00, 6 Sn 3.09-3.31
Er3 0.5890 0.5890 0.0000  4 Ni 2.98, 1 Pd 3.00, 6 Sn 3.09-3.31
Ni1 0.3333 0.6667 0.5000  3 Sn 2.71, 6 Er 2.98
Ni2 0.6667 0.3333 0.5000  3 Sn 2.71, 6 Er 2.98
Sn1 0.0000 0.7336 0.5000  2 Ni 2.71, 2 Pd 2.79
Sn2 0.2664 0.2664 0.5000  2 Ni 2.71, 2 Pd 2.79
Sn3 0.7336 0.0000 0.5000  2 Ni 2.71, 2 Pd 2.79
Pd1 0.0000 0.0000 0.0000  6 Sn 2.79, 3 Er 3.00


# 8
Entry from the Open Quantum Materials Database: an optimized crystal structure of ErTm2NiSn3Pd2 (PBE).

Results
For the final energy, the calculation gives -5.4719 eV per atom.

Cell: 3.8048 7.5337 7.5337 Å, 120.07 90.00 90.00°
Last column: nearest neighbours and their distance in Å.
Atoms (fractional coordinates):
Er1 0.0000 0.0000 0.0000  4 Pd 2.99, 1 Ni 3.02, 6 Sn 3.23-3.26
Tm1 0.0000 0.4004 0.8005  4 Pd 2.98, 1 Ni 3.01, 6 Sn 3.23-3.26
Tm2 0.0000 0.8005 0.4004  4 Pd 2.98, 1 Ni 3.01, 6 Sn 3.23-3.26
Ni1 0.0000 0.4007 0.4007  6 Sn 2.69
Sn1 0.5000 0.1476 0.4007  2 Ni 2.69, 2 Pd 2.85-2.86
Sn2 0.5000 0.4007 0.1476  2 Ni 2.69, 2 Pd 2.85-2.86
Sn3 0.5000 0.6533 0.6533  2 Ni 2.69, 2 Pd 2.87
Pd1 0.5000 0.0673 0.7329  3 Sn 2.85-2.87, 4 Tm 2.98, 2 Er 2.99
Pd2 0.5000 0.7329 0.0673  3 Sn 2.85-2.87, 4 Tm 2.98, 2 Er 2.99


# 9
Entry from the Open Quantum Materials Database: an optimized crystal structure of Er2TmNiSn3Pd2 (PBE).

Results
For the final energy, the calculation gives -5.4831 eV per atom.

Cell: 3.8076 7.5348 7.5348 Å, 119.94 90.00 90.00°
Last column: nearest neighbours and their distance in Å.
Atoms (fractional coordinates):
Er1 0.0000 0.2001 0.7999  4 Pd 2.99, 1 Ni 3.02, 6 Sn 3.24-3.26
Er2 0.0000 0.7999 0.2001  4 Pd 2.99, 1 Ni 3.02, 6 Sn 3.24-3.26
Tm1 0.0000 0.6000 0.6000  4 Pd 2.98, 1 Ni 3.01, 6 Sn 3.24-3.25
Ni1 0.0000 0.2004 0.2004  6 Sn 2.69-2.70, 1 Tm 3.01
Sn1 0.5000 0.2004 0.4528  2 Ni 2.69, 2 Pd 2.86-2.87
Sn2 0.5000 0.4528 0.2004  2 Ni 2.69, 2 Pd 2.86-2.87
Sn3 0.5000 0.9475 0.9475  2 Ni 2.70, 2 Pd 2.86
Pd1 0.5000 0.5337 0.8659  3 Sn 2.86-2.87, 2 Tm 2.98, 4 Er 2.99
Pd2 0.5000 0.8659 0.5337  3 Sn 2.86-2.87, 2 Tm 2.98, 4 Er 2.99


# 10
Entry from the Open Quantum Materials Database: an optimized crystal structure of Er3Zn3Ni2Pd (PBE).

Results
For the final energy, the calculation gives -4.3175 eV per atom. The calculation puts the calculated formation energy at -0.5624 eV/atom.

Cell: 7.0709 7.0709 3.7551 Å, 90.00 90.00 120.00°
Last column: nearest neighbours and their distance in Å.
Atoms (fractional coordinates):
Er1 0.0000 0.4103 0.0000  4 Ni 2.85, 1 Pd 2.90, 6 Zn 2.99-3.16
Er2 0.4103 0.0000 0.0000  4 Ni 2.85, 1 Pd 2.90, 6 Zn 2.99-3.16
Er3 0.5897 0.5897 0.0000  4 Ni 2.85, 1 Pd 2.90, 6 Zn 2.99-3.16
Zn1 0.0000 0.7390 0.5000  2 Pd 2.63, 2 Ni 2.65
Zn2 0.2610 0.2610 0.5000  2 Pd 2.63, 2 Ni 2.65
Zn3 0.7390 0.0000 0.5000  2 Pd 2.63, 2 Ni 2.65
Ni1 0.3333 0.6667 0.5000  3 Zn 2.65, 6 Er 2.85
Ni2 0.6667 0.3333 0.5000  3 Zn 2.65, 6 Er 2.85
Pd1 0.0000 0.0000 0.0000  6 Zn 2.63, 3 Er 2.90


# 11
Entry from the Open Quantum Materials Database: an optimized crystal structure of PmEr2Ni9 (PBE).

Results
For the final energy, the calculation gives -5.7466 eV per atom. The calculation puts the calculated formation energy at -0.4148 eV/atom.

Cell: 8.5620 8.5620 8.5620 Å, 33.69 33.69 33.69°
Last column: nearest neighbours and their distance in Å.
Atoms (fractional coordinates):
Pm1 0.0000 0.0000 0.0000  18 Ni 2.86-3.20
Er1 0.1398 0.1398 0.1398  12 Ni 2.83-3.03, 3 Er 3.15
Er2 0.8602 0.8602 0.8602  12 Ni 2.83-3.03, 3 Er 3.15
Ni1 0.0817 0.5840 0.5840  7 Ni 2.46-2.49
Ni2 0.3331 0.3331 0.3331  6 Ni 2.46-2.48
Ni3 0.4160 0.4160 0.9183  7 Ni 2.46-2.49
Ni4 0.4160 0.9183 0.4160  7 Ni 2.46-2.49
Ni5 0.5000 0.5000 0.5000  6 Ni 2.48
Ni6 0.5840 0.0817 0.5840  7 Ni 2.46-2.49
Ni7 0.5840 0.5840 0.0817  7 Ni 2.46-2.49
Ni8 0.6669 0.6669 0.6669  6 Ni 2.46-2.48
Ni9 0.9183 0.4160 0.4160  7 Ni 2.46-2.49


# 12
Entry from the Open Quantum Materials Database: an optimized crystal structure of PrErNi4 (PBE).

Results
For the final energy, the calculation gives -5.3174 eV per atom. As for the relative energy among the computed polymorphs: 1.952 eV/f.u. The calculation puts the calculated formation energy at -0.0492 eV/atom.

Cell: 5.4544 5.4544 7.9363 Å, 90.00 90.00 120.00°
Last column: nearest neighbours and their distance in Å.
Atoms (fractional coordinates):
Pr1 0.0000 0.0000 0.0000  6 Er 3.15, 12 Ni 3.48
Pr2 0.0000 0.0000 0.5000  18 Ni 3.15-3.27
Er1 0.3333 0.6667 0.0000  6 Ni 2.68
Er2 0.6667 0.3333 0.0000  6 Ni 2.68
Ni1 0.0000 0.5000 0.2733  2 Ni 2.39
Ni2 0.0000 0.5000 0.7267  2 Ni 2.39
Ni3 0.3333 0.6667 0.5000  6 Ni 2.39
Ni4 0.5000 0.0000 0.2733  2 Ni 2.39
Ni5 0.5000 0.0000 0.7267  2 Ni 2.39
Ni6 0.5000 0.5000 0.2733  2 Ni 2.39
Ni7 0.5000 0.5000 0.7267  2 Ni 2.39
Ni8 0.6667 0.3333 0.5000  6 Ni 2.39


Q: Which value of final energy does entry 6 give?
A: -5.6803 eV per atom